Entry 1:
Density functional theory data (GGA-PBE) for a relaxed LiCeGe2Pd2 crystal.

Summary:
* total DFT energy (no corrections): -31.9 eV for the cell shown
* total magnetization: 0.7 μB/f.u.

Cell: 4.2787 4.2787 6.8333 Å, 90.00 90.00 120.00°
Space group P-3m1 (No. 164)
Unique sites:
1 Li 0.0000 0.0000 0.0000
2 Ce 0.0000 0.0000 0.5000
3 Ge 0.3333 0.6667 0.7647
4 Pd 0.3333 0.6667 0.1403


Entry 2:
Density functional theory data (GGA-PBE) for a relaxed Ti2CdP crystal.

Summary:
* E above lowest polymorph: 0.35 eV per formula unit
* total magnetization: 0.0 μB/f.u.

Cell: 6.398 6.398 6.398 Å, 90.00 90.00 90.00°
Space group Fm-3m (No. 225)
Unique sites:
1 Ti 0.250 0.250 0.250
2 Cd 0.000 0.000 0.000
3 P 0.000 0.000 0.500


Entry 3:
Density functional theory data (GGA-PBE) for a relaxed TlCd2Ge2 crystal.

Summary:
* E above lowest polymorph: 0.45 eV per formula unit
* total magnetization: 0.0 μB/f.u.

Cell: 8.751 8.751 3.079 Å, 90.00 90.00 90.00°
Space group P4/mbm (No. 127)
Unique sites:
1 Tl 0.000 0.000 0.000
2 Cd 0.149 0.351 0.500
3 Ge 0.146 0.646 0.000


Entry 4:
Density functional theory data (GGA-PBE) for a relaxed LaTa2Pt crystal.

Summary:
* E above lowest polymorph: 0.59 eV per formula unit
* total magnetization: 0.0 μB/f.u.

Cell: 11.048 3.008 5.234 Å, 90.00 104.84 90.00°
Space group C2/m (No. 12)
Unique sites:
1 La 0.000 0.000 0.000
2 Ta 0.220 0.000 0.706
3 Pt 0.000 0.500 0.500


Look up the total magnetization of the second one.
0.0 μB/f.u.